This record from Alexandria via LeMat-Bulk describes a relaxed structure of CrInSi2. The functional is PBE.

Geometry as CIF:
```
data_CrInSi2
_cell_length_a 4.6916
_cell_length_b 4.6916
_cell_length_c 3.3228
_cell_angle_alpha 90.00
_cell_angle_beta 90.00
_cell_angle_gamma 108.42
_space_group_name_H-M_alt 'P 1'
_space_group_IT_number 1
loop_
_space_group_symop_operation_xyz
'x,y,z'
loop_
_atom_site_label
_atom_site_type_symbol
_atom_site_fract_x
_atom_site_fract_y
_atom_site_fract_z
Si1 Si 0.5000 0.5000 0.0000
Cr1 Cr 0.5000 0.0000 0.5000
Si2 Si 0.0000 0.0000 0.0000
In1 In 0.0000 0.5000 0.5000
```

Summary:
Electronic total energy = -21.24 eV for the cell shown

***

This record from Alexandria via LeMat-Bulk describes a relaxed structure of CrInSi3. The functional is PBE.

Geometry as CIF:
```
data_CrInSi3
_cell_length_a 4.5699
_cell_length_b 4.5699
_cell_length_c 4.5699
_cell_angle_alpha 90.00
_cell_angle_beta 90.00
_cell_angle_gamma 90.00
_space_group_name_H-M_alt 'P 1'
_space_group_IT_number 1
loop_
_space_group_symop_operation_xyz
'x,y,z'
loop_
_atom_site_label
_atom_site_type_symbol
_atom_site_fract_x
_atom_site_fract_y
_atom_site_fract_z
Si1 Si 0.0000 0.5000 0.0000
In1 In 0.5000 0.5000 0.5000
Cr1 Cr 0.0000 0.0000 0.0000
Si2 Si 0.0000 0.0000 0.5000
Si3 Si 0.5000 0.0000 0.0000
```

Summary:
Electronic total energy = -26.87 eV for the cell shown

***

Number 1: total moment 3.335 μB/f.u., density of states at the Fermi level 2.7 states/eV/cell. Number 2: total moment 0.000 μB/f.u., density of states at the Fermi level 3.2 states/eV/cell.